1.
YBiSb | the Alexandria database | PBE | relaxed; DOS(E_F) = 1.366 states/eV/f.u.; energy above the most stable polymorph in this dataset = 0.000 eV per atom; formation energy from raw total energies = -550 meV per atom; uncorrected energy = -32.2 eV for the cell shown; magnetic moment = 0.0 μB per formula unit
1.0
-3.486 1.973 0.407
-1.487 -3.069 2.140
6.408 5.464 8.502
Bi Y Sb
2 2 2
Cartesian
0.546 0.685 1.361
0.888 3.682 9.687
-1.341 0.887 4.129
2.775 3.479 6.920
-0.174 2.351 7.040
1.608 2.015 4.008



2.
Li6HN2 | the Alexandria database | PBE | relaxed; DOS(E_F) = 1.873 states/eV/f.u.; uncorrected energy = -33.3 eV for the cell shown; magnetic moment = 1.0 μB per formula unit
1.0
3.560 0.000 0.000
1.780 5.183 0.427
1.780 2.755 5.389
Li H N
6 1 2
Cartesian
5.339 5.933 5.188
1.780 2.005 0.628
1.780 4.572 1.283
3.560 5.659 2.974
5.339 3.367 4.533
3.560 2.279 2.842
1.780 3.969 2.908
3.560 6.562 4.769
3.560 1.377 1.047



3.
NdZn3Cd9 | the Alexandria database | PBE | relaxed; DOS(E_F) = 1.881 states/eV/f.u.; uncorrected energy = -18.4 eV for the cell shown; magnetic moment = 0.0 μB per formula unit; energy of formation = -0.1229 eV per atom
1.0
5.358 0.014 2.175
2.598 6.888 1.055
0.090 0.007 7.465
Nd Zn Cd
1 3 9
Cartesian
0.000 0.000 0.000
3.978 3.451 1.615
0.045 0.004 3.732
2.724 0.011 4.820
5.910 5.434 8.196
2.137 1.476 2.499
3.364 1.483 7.162
4.682 5.427 3.532
4.398 2.376 4.399
3.649 4.534 6.296
7.095 4.541 5.493
0.952 2.369 5.201
1.299 3.444 0.527



4.
YZrZn2 | the Alexandria database | PBE | relaxed; DOS(E_F) = 4.612 states/eV/f.u.; uncorrected energy = -33.9 eV for the cell shown; magnetic moment = 0.0 μB per formula unit; energy of formation = 0.1497 eV per atom
1.0
-6.754 -3.760 0.770
3.123 -4.477 5.528
-2.667 -2.166 5.211
Y Zn Zr
2 4 2
Cartesian
-1.816 -4.118 3.149
-0.680 -5.380 6.944
-4.623 -3.521 2.490
0.566 -3.739 4.840
-3.420 -4.630 6.167
-5.120 -8.915 9.522
0.000 0.000 0.000
-5.618 -5.022 4.565



5.
NaNdTlHg | the Alexandria database | PBE | relaxed; DOS(E_F) = 3.039 states/eV/f.u.; uncorrected energy = -10.0 eV for the cell shown; magnetic moment = 0.0 μB per formula unit; energy of formation = -0.3220 eV per atom
1.0
5.350 0.000 0.000
2.675 4.634 0.000
2.675 1.545 4.369
Na Tl Nd Hg
1 1 1 1
Cartesian
8.026 4.634 3.276
0.000 0.000 0.000
2.675 1.545 1.092
5.350 3.089 2.184



6.
PtPbW3 | the Alexandria database | PBE | relaxed; DOS(E_F) = 9.628 states/eV/f.u.; energy above the most stable polymorph in this dataset = 0.000 eV per atom; uncorrected energy = -38.6 eV for the cell shown; magnetic moment = 0.0 μB per formula unit; energy of formation = 2.0022 eV per atom
1.0
-2.438 -0.161 -4.198
2.639 -3.835 -1.385
-3.268 -2.976 2.013
Pb W Pt
1 3 1
Cartesian
-1.534 -3.486 -1.785
1.320 -1.918 -0.693
-1.634 -1.488 1.006
-1.219 -0.081 -2.099
0.000 0.000 0.000



7.
PrGe3Ir2 | the Alexandria database | PBE | relaxed; DOS(E_F) = 3.303 states/eV/f.u.; energy above the most stable polymorph in this dataset = 0.000 eV per atom; uncorrected energy = -79.0 eV for the cell shown; magnetic moment = 0.0 μB per formula unit; energy of formation = -0.5211 eV per atom
1.0
4.090 0.000 -1.202
-0.918 6.938 -3.124
0.124 0.347 7.984
Pr Ge Ir
2 6 4
Cartesian
0.544 0.769 1.851
2.753 6.517 1.808
2.392 3.084 0.579
-0.259 2.427 -0.881
1.352 1.842 4.602
1.944 5.443 -0.944
3.556 4.859 4.540
0.905 4.202 3.079
1.911 1.214 -1.059
1.386 6.071 4.717
0.195 4.478 0.663
3.102 2.808 2.996



8.
CsRb2YCl6 | the Alexandria database | PBE | relaxed; DOS(E_F) = 0.000 states/eV/f.u.; energy above the most stable polymorph in this dataset = 0.080 eV per atom; formation energy from raw total energies = -2062 meV per atom; uncorrected energy = -41.0 eV for the cell shown; magnetic moment = 0.0 μB per formula unit
1.0
-1.067 1.348 8.174
-4.641 -5.264 4.530
3.643 -5.042 5.575
Cs Rb Y Cl
1 2 1 6
Cartesian
-1.032 -4.479 9.140
-1.548 -6.718 13.709
-0.516 -2.239 4.570
0.000 0.000 0.000
-1.051 -1.258 8.606
1.552 -4.790 7.169
-1.013 -7.700 9.673
-3.027 -4.913 6.592
0.963 -4.045 11.687
-3.617 -4.168 11.110



9.
Ho2Mg2Al | the Alexandria database | PBE | relaxed; DOS(E_F) = 4.815 states/eV/f.u.; uncorrected energy = -16.6 eV for the cell shown; magnetic moment = 0.0 μB per formula unit; energy of formation = -0.1097 eV per atom
1.0
3.281 0.000 0.000
0.000 4.756 0.901
0.000 0.935 8.063
Ho Mg Al
2 2 1
Cartesian
1.641 2.080 2.024
1.641 3.611 6.940
0.000 1.512 5.018
0.000 4.179 3.946
0.000 0.000 0.000



10.
Er6USe12 | the Alexandria database | PBE | relaxed; formation energy from raw total energies = -1613 meV per atom; uncorrected energy = -111.1 eV for the cell shown; magnetic moment = 0.0 μB per formula unit
1.0
-1.905 5.926 -5.298
-3.634 -6.288 -3.752
-5.650 1.522 5.708
Er U Se
6 1 12
Cartesian
-6.441 -0.855 -4.666
-3.235 1.902 -3.777
-4.456 -2.627 -1.262
-4.747 2.015 1.324
-7.953 -0.741 0.435
-6.732 3.787 -2.080
0.000 0.000 0.000
-6.080 1.856 -4.142
-7.098 -1.786 -2.000
-7.304 2.055 0.024
-5.108 -0.696 0.800
-4.090 2.947 -1.342
-3.884 -0.894 -3.366
-5.531 -5.109 -2.246
-7.672 -2.686 2.538
-4.767 -1.706 -6.848
-5.657 6.270 -1.096
-3.516 3.847 -5.880
-6.421 2.867 3.505



11.
SrNd4Si3O13 | the Alexandria database | PBE | relaxed; DOS(E_F) = 0.000 states/eV/f.u.; formation energy from raw total energies = -3239 meV per atom; uncorrected energy = -339.0 eV for the cell shown; magnetic moment = 0.0 μB per formula unit
1.0
9.670 0.000 0.000
-4.835 8.374 0.000
0.000 0.000 7.165
Sr Nd Si O
2 8 6 26
Cartesian
0.000 5.583 7.158
4.835 2.791 3.575
4.835 2.791 7.157
0.000 5.583 3.575
-2.541 8.297 5.383
3.621 6.427 5.383
-1.080 2.025 5.383
7.376 0.077 1.801
1.214 1.948 1.801
5.915 6.349 1.801
6.479 5.048 5.365
5.967 0.240 5.365
2.059 3.087 5.365
-1.644 3.327 1.782
-1.132 8.135 1.782
2.776 5.287 1.782
5.621 5.554 6.686
6.834 0.729 6.686
2.050 2.091 6.686
-0.786 2.821 3.103
-1.999 7.645 3.103
2.785 6.283 3.103
-0.739 2.857 0.485
-1.991 7.586 0.485
2.730 6.306 0.485
5.574 5.517 4.067
6.826 0.789 4.067
2.105 2.069 4.067
-1.712 5.742 5.285
0.994 6.986 5.285
0.719 4.021 5.285
6.547 2.633 1.703
3.841 1.388 1.703
4.116 4.354 1.703
6.536 3.406 5.461
4.517 1.011 5.461
3.452 3.957 5.461
-1.701 4.968 1.878
0.318 7.363 1.878
1.383 4.418 1.878
0.000 0.000 5.380
0.000 0.000 1.797



12.
FeAg2Se | the Alexandria database | PBE | relaxed; DOS(E_F) = 2.418 states/eV/f.u.; formation energy from raw total energies = 397 meV per atom; uncorrected energy = -16.1 eV for the cell shown; magnetic moment = 3.0 μB per formula unit
1.0
-2.072 4.013 -2.966
-3.298 -3.290 2.739
0.135 1.689 2.192
Ag Fe Se
2 1 1
Cartesian
0.000 0.000 0.000
-2.685 0.362 -0.114
-0.969 2.851 -0.387
-1.581 -0.800 2.465